First-principles (GGA-PBE) data for a geometry-optimized RbPt4 structure, as listed in the Alexandria database.

Unit cell a=4.935 b=4.935 c=4.935 alpha=90.00 beta=90.00 gamma=90.00
Fractional coordinates of all 5 atoms:
Rb1 0.000 0.000 0.000
Pt1 0.000 0.000 0.500
Pt2 0.000 0.500 0.000
Pt3 0.500 0.000 0.000
Pt4 0.500 0.500 0.500

Results
SG: Pm-3m (221)
Energy of formation from the pure elements (eV per atom): 2.522
Excess energy over the best structure of this formula in the dataset (meV/atom): 2259
DFT total energy (eV per cell): -12.5


First-principles (GGA-PBE) data for a geometry-optimized RbPt3 structure, as listed in the Alexandria database.

Unit cell a=12.938 b=2.801 c=6.598 alpha=90.00 beta=119.15 gamma=90.00
Fractional coordinates of all 8 atoms:
Rb1 0.000 0.000 0.000
Rb2 0.500 0.500 0.000
Pt1 0.000 0.500 0.500
Pt2 0.185 0.000 0.566
Pt3 0.315 0.500 0.434
Pt4 0.500 0.000 0.500
Pt5 0.685 0.500 0.566
Pt6 0.815 0.000 0.434

Results
SG: C2/m (12)
Energy of formation from the pure elements (eV per atom): 0.125
Excess energy over the best structure of this formula in the dataset (meV/atom): 269
DFT total energy (eV per cell): -37.2


First-principles (GGA-PBE) data for a geometry-optimized Rb3Pt structure, as listed in the Alexandria database.

Unit cell a=6.072 b=6.085 c=11.538 alpha=90.00 beta=90.00 gamma=90.00
Fractional coordinates of all 8 atoms:
Rb1 0.000 0.000 0.000
Rb2 0.000 0.500 0.353
Rb3 0.000 0.500 0.647
Rb4 0.500 0.000 0.353
Rb5 0.500 0.000 0.647
Rb6 0.500 0.500 0.000
Pt1 0.000 0.000 0.500
Pt2 0.500 0.500 0.500

Results
SG: Cmmm (65)
Energy of formation from the pure elements (eV per atom): 0.170
DFT total energy (eV per cell): -16.5


First-principles (GGA-PBE) data for a geometry-optimized Rb3Pt2 structure, as listed in the Alexandria database.

Unit cell a=5.713 b=5.713 c=18.439 alpha=90.00 beta=90.00 gamma=120.00
Fractional coordinates of all 15 atoms:
Rb1 0.000 0.000 0.000
Rb2 0.000 0.000 0.222
Rb3 0.000 0.000 0.778
Rb4 0.333 0.667 0.444
Rb5 0.333 0.667 0.667
Rb6 0.333 0.667 0.889
Rb7 0.667 0.333 0.111
Rb8 0.667 0.333 0.333
Rb9 0.667 0.333 0.556
Pt1 0.000 0.000 0.430
Pt2 0.000 0.000 0.570
Pt3 0.333 0.667 0.097
Pt4 0.333 0.667 0.236
Pt5 0.667 0.333 0.764
Pt6 0.667 0.333 0.903

Results
SG: R-3m (166)
Energy of formation from the pure elements (eV per atom): 0.127
Excess energy over the best structure of this formula in the dataset (meV/atom): 0
DFT total energy (eV per cell): -43.0


First-principles (GGA-PBE) data for a geometry-optimized RbPt2 structure, as listed in the Alexandria database.

Unit cell a=2.972 b=2.972 c=14.732 alpha=90.00 beta=90.00 gamma=90.00
Fractional coordinates of all 6 atoms:
Rb1 0.000 0.000 0.000
Rb2 0.500 0.500 0.500
Pt1 0.000 0.000 0.310
Pt2 0.000 0.000 0.690
Pt3 0.500 0.500 0.190
Pt4 0.500 0.500 0.810

Results
SG: I4/mmm (139)
Energy of formation from the pure elements (eV per atom): 0.417
DFT total energy (eV per cell): -23.6


First-principles (GGA-PBE) data for a geometry-optimized RbPt2 structure, as listed in the Alexandria database.

Unit cell a=6.323 b=6.323 c=2.640 alpha=90.00 beta=90.00 gamma=90.00
Fractional coordinates of all 3 atoms:
Rb1 0.000 0.000 0.000
Pt1 0.000 0.500 0.500
Pt2 0.500 0.000 0.500

Results
SG: P4/mmm (123)
Energy of formation from the pure elements (eV per atom): 1.324
DFT total energy (eV per cell): -9.1


First-principles (GGA-PBE) data for a geometry-optimized Rb3Pt structure, as listed in the Alexandria database.

Unit cell a=4.621 b=8.172 c=11.526 alpha=90.00 beta=90.00 gamma=90.00
Fractional coordinates of all 8 atoms:
Rb1 0.250 0.023 0.189
Rb2 0.250 0.250 0.522
Rb3 0.250 0.477 0.189
Rb4 0.750 0.523 0.811
Rb5 0.750 0.750 0.478
Rb6 0.750 0.977 0.811
Pt1 0.250 0.750 0.678
Pt2 0.750 0.250 0.322

Results
SG: Pmmn (59)
Energy of formation from the pure elements (eV per atom): 0.080
DFT total energy (eV per cell): -17.2


First-principles (GGA-PBE) data for a geometry-optimized RbPt3 structure, as listed in the Alexandria database.

Unit cell a=5.314 b=5.314 c=5.314 alpha=90.00 beta=90.00 gamma=90.00
Fractional coordinates of all 4 atoms:
Rb1 0.000 0.000 0.000
Pt1 0.000 0.000 0.500
Pt2 0.000 0.500 0.000
Pt3 0.500 0.000 0.000

Results
SG: Pm-3m (221)
Energy of formation from the pure elements (eV per atom): 2.830
Excess energy over the best structure of this formula in the dataset (meV/atom): 2973
DFT total energy (eV per cell): -7.8


First-principles (GGA-PBE) data for a geometry-optimized RbPt3 structure, as listed in the Alexandria database.

Unit cell a=6.060 b=8.821 c=2.821 alpha=90.00 beta=90.00 gamma=90.00
Fractional coordinates of all 8 atoms:
Rb1 0.000 0.000 0.000
Rb2 0.500 0.500 0.000
Pt1 0.000 0.500 0.000
Pt2 0.250 0.250 0.500
Pt3 0.250 0.750 0.500
Pt4 0.500 0.000 0.000
Pt5 0.750 0.250 0.500
Pt6 0.750 0.750 0.500

Results
SG: Cmmm (65)
Energy of formation from the pure elements (eV per atom): 0.497
Excess energy over the best structure of this formula in the dataset (meV/atom): 640
DFT total energy (eV per cell): -34.2


First-principles (GGA-PBE) data for a geometry-optimized RbPt3 structure, as listed in the Alexandria database.

Unit cell a=8.992 b=8.992 c=5.882 alpha=90.00 beta=90.00 gamma=120.00
Fractional coordinates of all 16 atoms:
Rb1 0.000 0.000 0.000
Rb2 0.000 0.000 0.500
Rb3 0.333 0.667 0.250
Rb4 0.667 0.333 0.750
Pt1 0.000 0.500 0.000
Pt2 0.000 0.500 0.500
Pt3 0.232 0.464 0.750
Pt4 0.232 0.768 0.750
Pt5 0.464 0.232 0.250
Pt6 0.500 0.000 0.000
Pt7 0.500 0.000 0.500
Pt8 0.500 0.500 0.000
Pt9 0.500 0.500 0.500
Pt10 0.536 0.768 0.750
Pt11 0.768 0.232 0.250
Pt12 0.768 0.536 0.250

Results
SG: P6_3/mmc (194)
Energy of formation from the pure elements (eV per atom): 0.430
Excess energy over the best structure of this formula in the dataset (meV/atom): 573
DFT total energy (eV per cell): -69.5


First-principles (GGA-PBE) data for a geometry-optimized Rb3Pt structure, as listed in the Alexandria database.

Unit cell a=4.752 b=4.752 c=9.470 alpha=90.00 beta=90.00 gamma=90.00
Fractional coordinates of all 4 atoms:
Rb1 0.000 0.000 0.000
Rb2 0.000 0.500 0.711
Rb3 0.500 0.000 0.289
Pt1 0.500 0.500 0.000

Results
SG: P-4m2 (115)
Energy of formation from the pure elements (eV per atom): 0.164
DFT total energy (eV per cell): -8.3


First-principles (GGA-PBE) data for a geometry-optimized RbPt3 structure, as listed in the Alexandria database.

Unit cell a=8.038 b=6.995 c=6.452 alpha=90.00 beta=90.00 gamma=90.00
Fractional coordinates of all 16 atoms:
Rb1 0.020 0.250 0.117
Rb2 0.480 0.750 0.617
Rb3 0.520 0.250 0.383
Rb4 0.980 0.750 0.883
Pt1 0.144 0.065 0.573
Pt2 0.144 0.435 0.573
Pt3 0.148 0.750 0.336
Pt4 0.352 0.250 0.836
Pt5 0.356 0.565 0.073
Pt6 0.356 0.935 0.073
Pt7 0.644 0.065 0.927
Pt8 0.644 0.435 0.927
Pt9 0.648 0.750 0.164
Pt10 0.852 0.250 0.664
Pt11 0.856 0.565 0.427
Pt12 0.856 0.935 0.427

Results
SG: Pnma (62)
Energy of formation from the pure elements (eV per atom): 0.155
Excess energy over the best structure of this formula in the dataset (meV/atom): 298
DFT total energy (eV per cell): -73.9